Record 1
Here is SmZn8Pd4 after structural relaxation from Alexandria. Energies are from PBE.

Lattice parameters (Å, degrees): 5.483 6.809 6.809 80.67 66.25 66.25
Atoms (fractional coordinates):
Pd  0.500  0.000  0.500
Zn  0.651  0.349  0.349
Zn  0.349  0.651  0.651
Pd  0.000  0.500  0.000
Sm  0.000  0.000  0.000
Zn  0.000  0.349  0.651
Zn  0.000  0.651  0.349
Pd  0.500  0.500  0.000
Zn  0.718  0.782  0.782
Zn  0.282  0.218  0.218
Zn  0.500  0.218  0.782
Pd  0.000  0.000  0.500
Zn  0.500  0.782  0.218

## Properties
* final energy: -3.195 eV/atom
* theoretical density: 8.6 Mg/m³
* E_form: -450 meV/atom

---

Record 2
Here is Ca2Hg3RuO6 after structural relaxation from Alexandria. Energies are from PBE.

Lattice parameters (Å, degrees): 5.863 5.863 6.698 83.55 83.55 120.93
Site moments in Bohr magnetons follow the coordinates.
Atoms (fractional coordinates):
O  0.664  0.664  0.162  0.00
O  0.336  0.336  0.838  0.00
Ca  0.334  0.666  0.000  0.00
O  0.952  0.243  0.171  0.00
Hg  0.848  0.152  0.500  -0.01
Ru  0.000  0.000  0.000  0.24
Ca  0.666  0.334  0.000  0.00
Hg  0.152  0.848  0.500  -0.01
O  0.048  0.757  0.829  0.00
O  0.243  0.952  0.171  0.00
O  0.757  0.048  0.829  0.00
Hg  0.500  0.500  0.500  -0.02

## Properties
* final energy: -4.955 eV/atom
* theoretical density: 7.6 Mg/m³
* energy relative to the elements, uncorrected: -1.294 eV/atom

---

Record 3
Here is GaHg2H after structural relaxation from Alexandria. Energies are from PBE.

Lattice parameters (Å, degrees): 5.135 5.135 7.395 69.69 69.69 90.00
Atoms (fractional coordinates):
H  0.250  0.750  0.500
Ga  0.750  0.250  0.500
H  0.500  0.500  0.000
Ga  0.000  0.000  0.000
Hg  0.218  0.625  0.250
Hg  0.532  0.125  0.250
Hg  0.875  0.782  0.750
Hg  0.375  0.468  0.750

## Properties
* final energy: -1.398 eV/atom
* theoretical density: 9.2 Mg/m³
* ΔE to the lowest computed polymorph: 0.1775 eV per atom

---

Repeat the first record exactly.
Here is SmZn8Pd4 after structural relaxation from Alexandria. Energies are from PBE.

Lattice parameters (Å, degrees): 5.483 6.809 6.809 80.67 66.25 66.25
Atoms (fractional coordinates):
Pd  0.500  0.000  0.500
Zn  0.651  0.349  0.349
Zn  0.349  0.651  0.651
Pd  0.000  0.500  0.000
Sm  0.000  0.000  0.000
Zn  0.000  0.349  0.651
Zn  0.000  0.651  0.349
Pd  0.500  0.500  0.000
Zn  0.718  0.782  0.782
Zn  0.282  0.218  0.218
Zn  0.500  0.218  0.782
Pd  0.000  0.000  0.500
Zn  0.500  0.782  0.218

## Properties
* final energy: -3.195 eV/atom
* theoretical density: 8.6 Mg/m³
* E_form: -450 meV/atom